SbSe5 | PBE | optimized geometry

Cell and atoms, written as CIF:
```
data_SbSe5
_symmetry_space_group_name_H-M 'P 1'
_symmetry_Int_Tables_number 1
_cell_length_a 5.731
_cell_length_b 5.731
_cell_length_c 5.731
_cell_angle_alpha 60.00
_cell_angle_beta 60.00
_cell_angle_gamma 60.00
loop_
_symmetry_equiv_pos_as_xyz
'x,y,z'
loop_
_atom_site_label
_atom_site_type_symbol
_atom_site_fract_x
_atom_site_fract_y
_atom_site_fract_z
Sb1 Sb 0.000 0.000 0.000
Se1 Se 0.375 0.375 0.375
Se2 Se 0.375 0.375 0.875
Se3 Se 0.375 0.875 0.375
Se4 Se 0.750 0.750 0.750
Se5 Se 0.875 0.375 0.375
```

## Properties
- theoretical density (g cm⁻³) = 6.44
- DOS at the Fermi energy (states/eV/f.u.) = 6.18
- space-group type = F-43m
- E_form (uncorrected) (meV/atom) = 638
- volume (A^3/atom) = 22.19
- energy relative to the lowest polymorph listed for this composition (meV per atom) = 577.4

Sb5Se | PBE | optimized geometry

Cell and atoms, written as CIF:
```
data_Sb5Se
_symmetry_space_group_name_H-M 'P 1'
_symmetry_Int_Tables_number 1
_cell_length_a 4.873
_cell_length_b 3.989
_cell_length_c 17.799
_cell_angle_alpha 90.00
_cell_angle_beta 90.00
_cell_angle_gamma 90.00
loop_
_symmetry_equiv_pos_as_xyz
'x,y,z'
loop_
_atom_site_label
_atom_site_type_symbol
_atom_site_fract_x
_atom_site_fract_y
_atom_site_fract_z
Sb1 Sb 0.000 0.000 0.000
Sb2 Sb 0.000 0.000 0.267
Sb3 Sb 0.000 0.000 0.632
Sb4 Sb 0.000 0.500 0.132
Sb5 Sb 0.000 0.500 0.500
Sb6 Sb 0.000 0.500 0.767
Sb7 Sb 0.500 0.000 0.112
Sb8 Sb 0.500 0.000 0.821
Sb9 Sb 0.500 0.500 0.321
Sb10 Sb 0.500 0.500 0.612
Se1 Se 0.500 0.000 0.434
Se2 Se 0.500 0.500 0.934
```

## Properties
- theoretical density (g cm⁻³) = 6.60
- DOS at the Fermi energy (states/eV/f.u.) = 2.96
- space-group type = Amm2
- E_form (uncorrected) (meV/atom) = 182
- volume (A^3/atom) = 28.83
- energy relative to the lowest polymorph listed for this composition (meV per atom) = 171.5